[1]
The following is a DFT calculation (PBE-GGA) of a relaxed structure of SrLaCe2As4.

calculated formation energy = -134.7 kJ/mol of atoms
size of the total moment = 0.969 Bohr magnetons per cell

a = 7.4772 Å, b = 4.3175 Å, c = 7.5011 Å
α = 90.00°, β = 109.34°, γ = 90.00°
Fractional coordinates of all 8 atoms:
Sr  0.0000  0.0000  0.0000
La  0.5000  0.5000  0.0000
Ce  0.0000  0.5000  0.5000
Ce  0.5000  0.0000  0.5000
As  0.2503  0.0000  0.7351
As  0.2631  0.5000  0.2716
As  0.7369  0.5000  0.7284
As  0.7497  0.0000  0.2649

***

[2]
The following is a DFT calculation (PBE-GGA) of a relaxed structure of Zr2ReHOs.

energy = -9.096 eV/atom
size of the total moment = 0.003 Bohr magnetons per cell

a = 4.6677 Å, b = 4.6677 Å, c = 3.4410 Å
α = 90.00°, β = 90.00°, γ = 90.00°
Fractional coordinates of all 5 atoms:
Zr  0.0000  0.5000  0.0000
Zr  0.5000  0.0000  0.0000
Re  0.0000  0.0000  0.5000
H  0.0000  0.0000  0.0000
Os  0.5000  0.5000  0.5000

***

[3]
The following is a DFT calculation (PBE-GGA) of a relaxed structure of Al2TeAs.

formation energy (no corrections) = -0.21 eV per atom
energy relative to the lowest polymorph listed for this composition = 0.041 eV per atom
size of the total moment = 0.000 Bohr magnetons per cell

a = 3.7921 Å, b = 3.7921 Å, c = 6.4573 Å
α = 90.00°, β = 90.00°, γ = 90.00°
Fractional coordinates of all 4 atoms:
Al  0.0000  0.0000  0.0000
Al  0.5000  0.5000  0.4259
Te  0.5000  0.5000  0.8664
As  0.0000  0.0000  0.3824

***

Which of these has the lowest size of the total moment? Al2TeAs

***

Among the records above, which one has the lowest size of the total moment? Al2TeAs

***

Which of these has the lowest size of the total moment? Al2TeAs